No. 1
A relaxed structure of AcPm3Sn, computed with PBE.

Computed properties:
- size of the total moment (μB per cell) = 0.00
- formation energy (meV per atom) = 235.9

Cell lengths 6.597, 19.562, 5.866 Å; angles 90.00, 90.00, 90.00 degrees
Space group Cmcm (No. 63)
Inequivalent atoms, fractional coordinates:
1 Ac 0.000 0.066 0.250 (multiplicity 4)
2 Pm 0.000 0.500 0.000 (multiplicity 4)
3 Pm 0.233 0.289 0.750 (multiplicity 8)
4 Sn 0.000 0.351 0.250 (multiplicity 4)



No. 2
A relaxed structure of PmSi4Ni4, computed with PBE.

Computed properties:
- size of the total moment (μB per cell) = 0.00
- uncorrected formation energy (eV/atom) = -0.614

Cell lengths 5.676, 5.676, 7.842 Å; angles 90.00, 90.00, 90.00 degrees
Space group P4_2/nmc (No. 137, origin choice 2)
Inequivalent atoms, fractional coordinates:
1 Pm 0.250 0.750 0.250 (multiplicity 2)
2 Si 0.040 0.250 0.075 (multiplicity 8)
3 Ni 0.024 0.250 0.369 (multiplicity 8)



No. 3
A relaxed structure of Pm4InAg, computed with PBE.

Computed properties:
- size of the total moment (μB per cell) = 0.00
- formation energy (meV per atom) = -67.6

Cell lengths 5.589, 21.370, 6.596 Å; angles 90.00, 90.00, 90.00 degrees
Space group Cmc2_1 (No. 36)
Inequivalent atoms, fractional coordinates:
1 Pm 0.000 0.060 0.000 (multiplicity 4)
2 Pm 0.000 0.202 0.268 (multiplicity 4)
3 Pm 0.000 0.215 0.789 (multiplicity 4)
4 Pm 0.000 0.379 0.041 (multiplicity 4)
5 In 0.000 0.348 0.529 (multiplicity 4)
6 Ag 0.000 0.079 0.512 (multiplicity 4)



No. 4
A relaxed structure of NdSmRhCl, computed with PBE.

Computed properties:
- size of the total moment (μB per cell) = 0.00
- uncorrected formation energy (eV/atom) = -1.154

Cell lengths 6.996, 4.040, 8.039 Å; angles 90.00, 106.82, 90.00 degrees
Space group Cm (No. 8)
Inequivalent atoms, fractional coordinates:
1 Nd 0.000 0.000 0.000 (multiplicity 2)
2 Sm 0.301 0.500 0.403 (multiplicity 2)
3 Rh 0.401 0.000 0.205 (multiplicity 2)
4 Cl 0.229 0.000 0.689 (multiplicity 2)



One value per record, in order, for V: 757.1, 252.7, 787.7, 217.5 Å³/cell.